*P*
First-principles (SCAN) data for a PBEsol-optimized structure of SrZrBr2, as listed in the Alexandria database.

```
data_SrZrBr2
_space_group_name_H-M_alt 'P m m m'
_space_group_IT_number 47
_cell_length_a 3.4838
_cell_length_b 4.7270
_cell_length_c 6.6224
_cell_angle_alpha 90.00
_cell_angle_beta 90.00
_cell_angle_gamma 90.00
loop_
_space_group_symop_operation_xyz
'x,y,z'
'-x,-y,-z'
'-x,-y,z'
'x,y,-z'
'x,-y,-z'
'-x,y,z'
'-x,y,-z'
'x,-y,z'
loop_
_atom_site_label
_atom_site_type_symbol
_atom_site_fract_x
_atom_site_fract_y
_atom_site_fract_z
Sr1 Sr 0.0000 0.0000 0.0000
Zr1 Zr 0.5000 0.0000 0.5000
Br1 Br 0.0000 0.5000 0.5000
Br2 Br 0.5000 0.5000 0.0000
```

***

*Q*
First-principles (SCAN) data for a PBEsol-optimized structure of SrZrBr2, as listed in the Alexandria database.

```
data_SrZrBr2
_space_group_name_H-M_alt 'I m m m'
_space_group_IT_number 71
_space_group_name_Hall '-I 2 2'
_cell_length_a 3.5032
_cell_length_b 6.4451
_cell_length_c 9.6696
_cell_angle_alpha 90.00
_cell_angle_beta 90.00
_cell_angle_gamma 90.00
loop_
_atom_site_label
_atom_site_type_symbol
_atom_site_fract_x
_atom_site_fract_y
_atom_site_fract_z
Sr1 Sr 0.0000 0.0000 0.0000
Zr1 Zr 0.0000 0.0000 0.5000
Br1 Br 0.0000 0.5000 0.2177
```

***

Name the most stable of them. *Q*.

***

*P*
First-principles (SCAN) data for a PBEsol-optimized structure of Ta2TeBr, as listed in the Alexandria database.

```
data_Ta2TeBr
_space_group_name_H-M_alt 'I -4 m 2'
_space_group_IT_number 119
_space_group_name_Hall 'I -4 -2'
_cell_length_a 4.3719
_cell_length_b 4.3719
_cell_length_c 8.1493
_cell_angle_alpha 90.00
_cell_angle_beta 90.00
_cell_angle_gamma 90.00
loop_
_atom_site_label
_atom_site_type_symbol
_atom_site_fract_x
_atom_site_fract_y
_atom_site_fract_z
Ta1 Ta 0.0000 0.0000 0.0000
Ta2 Ta 0.0000 0.5000 0.2500
Te1 Te 0.0000 0.0000 0.5000
Br1 Br 0.0000 0.5000 0.7500
```

***

*Q*
First-principles (SCAN) data for a PBEsol-optimized structure of Ta2TeBr, as listed in the Alexandria database.

```
data_Ta2TeBr
_space_group_name_H-M_alt 'P 4/m m m'
_space_group_IT_number 123
_space_group_name_Hall '-P 4 2'
_cell_length_a 4.6624
_cell_length_b 4.6624
_cell_length_c 3.3813
_cell_angle_alpha 90.00
_cell_angle_beta 90.00
_cell_angle_gamma 90.00
loop_
_atom_site_label
_atom_site_type_symbol
_atom_site_fract_x
_atom_site_fract_y
_atom_site_fract_z
Ta1 Ta 0.0000 0.5000 0.0000
Te1 Te 0.0000 0.0000 0.5000
Br1 Br 0.5000 0.5000 0.5000
```

***

Name the most stable of them. *Q*.